The following is a PBE calculation of a relaxed Li2ReAu crystal, from Alexandria via LeMat-Bulk.

Output
DFT total energy (eV/atom): -4.64
Energy above the lowest structure with this stoichiometry (meV/atom): 236
DFT formation energy (meV per atom): 244
Symmetry: Pmm2, No. 25
Density of states at the Fermi level (states/eV per atom): 0.516

Cell lengths 2.624, 4.382, 5.409 Å; angles 90.00, 90.00, 90.00 degrees
Fractional coordinates of all 4 atoms:
Li 0.000 0.000 0.000
Li 0.500 0.500 0.229
Re 0.000 0.000 0.506
Au 0.500 0.500 0.720

The following is a PBE calculation of a relaxed PmZn3Hg3 crystal, from Alexandria via LeMat-Bulk.

Output
DFT total energy (eV/atom): -1.09
DFT formation energy (meV per atom): 260
Symmetry: Pm-3n, No. 223
Density of states at the Fermi level (states/eV per atom): 0.662

Cell lengths 7.225, 7.225, 7.225 Å; angles 90.00, 90.00, 90.00 degrees
Fractional coordinates of all 14 atoms:
Pm 0.000 0.000 0.000
Pm 0.500 0.500 0.500
Zn 0.000 0.250 0.500
Zn 0.000 0.750 0.500
Zn 0.250 0.500 0.000
Zn 0.500 0.000 0.250
Zn 0.500 0.000 0.750
Zn 0.750 0.500 0.000
Hg 0.000 0.500 0.250
Hg 0.000 0.500 0.750
Hg 0.250 0.000 0.500
Hg 0.500 0.250 0.000
Hg 0.500 0.750 0.000
Hg 0.750 0.000 0.500

The following is a PBE calculation of a relaxed Mn3Pt4Au crystal, from Alexandria via LeMat-Bulk.

Output
DFT total energy (eV/atom): -7.18
DFT formation energy (meV per atom): -308
Symmetry: Pmmm, No. 47
Density of states at the Fermi level (states/eV per atom): 0.315

Cell lengths 3.715, 4.083, 8.175 Å; angles 90.00, 90.00, 90.00 degrees
Fractional coordinates of all 8 atoms:
Mn 0.000 0.000 0.000
Mn 0.000 0.500 0.254
Mn 0.000 0.500 0.746
Pt 0.500 0.000 0.241
Pt 0.500 0.000 0.759
Pt 0.500 0.500 0.000
Pt 0.500 0.500 0.500
Au 0.000 0.000 0.500

The following is a PBE calculation of a relaxed Pr3YAl crystal, from Alexandria via LeMat-Bulk.

Output
DFT total energy (eV/atom): -5.03
DFT formation energy (meV per atom): -119
Symmetry: C2/m, No. 12
Density of states at the Fermi level (states/eV per atom): 1.199

Cell lengths 7.032, 7.032, 12.639 Å; angles 96.29, 96.29, 30.45 degrees
Fractional coordinates of all 10 atoms:
Pr 0.037 0.037 0.195
Pr 0.142 0.142 0.447
Pr 0.361 0.361 0.018
Pr 0.639 0.639 0.982
Pr 0.858 0.858 0.553
Pr 0.963 0.963 0.805
Y 0.216 0.216 0.745
Y 0.784 0.784 0.255
Al 0.450 0.450 0.380
Al 0.550 0.550 0.620

The following is a PBE calculation of a relaxed ReRu2W crystal, from Alexandria via LeMat-Bulk.

Output
DFT total energy (eV/atom): -10.52
Energy above the lowest structure with this stoichiometry (meV/atom): 454
DFT formation energy (meV per atom): 467
Symmetry: Fm-3m, No. 225
Density of states at the Fermi level (states/eV per atom): 1.718

Cell lengths 4.397, 4.397, 4.397 Å; angles 60.00, 60.00, 60.00 degrees
Fractional coordinates of all 4 atoms:
Re 0.000 0.000 0.000
Ru 0.250 0.250 0.250
Ru 0.750 0.750 0.750
W 0.500 0.500 0.500

The following is a PBE calculation of a relaxed Cr2SnBr crystal, from Alexandria via LeMat-Bulk.

Output
DFT total energy (eV/atom): -5.67
Energy relative to the elements, uncorrected (kJ/mol of formula units): 216
Energy above the lowest structure with this stoichiometry (meV/atom): 16
Symmetry: Fm-3m, No. 225
Density of states at the Fermi level (states/eV per atom): 0.403

Cell lengths 4.847, 4.847, 4.847 Å; angles 60.00, 60.00, 60.00 degrees
Fractional coordinates of all 4 atoms:
Cr 0.250 0.250 0.250
Cr 0.750 0.750 0.750
Sn 0.000 0.000 0.000
Br 0.500 0.500 0.500

The following is a PBE calculation of a relaxed NaCoRhSe2 crystal, from Alexandria via LeMat-Bulk.

Output
DFT total energy (eV/atom): -4.30
Energy relative to the elements, uncorrected (kJ/mol of formula units): 118
Symmetry: P4/mmm, No. 123
Density of states at the Fermi level (states/eV per atom): 1.102

Cell lengths 4.700, 4.700, 4.726 Å; angles 90.00, 90.00, 90.00 degrees
Fractional coordinates of all 5 atoms:
Na 0.000 0.000 0.000
Co 0.500 0.500 0.500
Rh 0.500 0.500 0.000
Se 0.000 0.500 0.500
Se 0.500 0.000 0.500

The following is a PBE calculation of a relaxed AcPr8Tl2 crystal, from Alexandria via LeMat-Bulk.

Output
DFT total energy (eV/atom): -4.31
DFT formation energy (meV per atom): -33
Symmetry: C2/m, No. 12
Density of states at the Fermi level (states/eV per atom): 1.207

Cell lengths 9.087, 9.087, 6.020 Å; angles 102.08, 102.08, 119.38 degrees
Fractional coordinates of all 11 atoms:
Ac 0.000 0.000 0.000
Pr 0.087 0.319 0.619
Pr 0.229 0.771 0.000
Pr 0.319 0.087 0.619
Pr 0.415 0.415 0.206
Pr 0.585 0.585 0.794
Pr 0.681 0.913 0.381
Pr 0.771 0.229 0.000
Pr 0.913 0.681 0.381
Tl 0.308 0.692 0.500
Tl 0.692 0.308 0.500

The following is a PBE calculation of a relaxed Ba2HSe crystal, from Alexandria via LeMat-Bulk.

Output
DFT total energy (eV/atom): -3.73
Energy above the lowest structure with this stoichiometry (meV/atom): 34
Symmetry: P2/c, No. 13
Density of states at the Fermi level (states/eV per atom): 0.653

Cell lengths 6.427, 6.423, 14.210 Å; angles 90.00, 116.76, 90.00 degrees
Fractional coordinates of all 16 atoms:
Ba 0.121 0.249 0.120
Ba 0.121 0.751 0.620
Ba 0.367 0.249 0.870
Ba 0.367 0.751 0.370
Ba 0.633 0.249 0.630
Ba 0.633 0.751 0.130
Ba 0.879 0.249 0.380
Ba 0.879 0.751 0.880
H 0.117 0.246 0.625
H 0.117 0.754 0.125
H 0.883 0.246 0.875
H 0.883 0.754 0.375
Se 0.375 0.251 0.375
Se 0.375 0.749 0.875
Se 0.625 0.251 0.125
Se 0.625 0.749 0.625

The following is a PBE calculation of a relaxed P2RuCS crystal, from Alexandria via LeMat-Bulk.

Output
DFT total energy (eV/atom): -5.61
Energy relative to the elements, uncorrected (kJ/mol of formula units): 520
Energy above the lowest structure with this stoichiometry (meV/atom): 0
Symmetry: P4/mmm, No. 123
Density of states at the Fermi level (states/eV per atom): 0.341

Cell lengths 3.890, 3.890, 4.090 Å; angles 90.00, 90.00, 90.00 degrees
Fractional coordinates of all 5 atoms:
P 0.000 0.500 0.000
P 0.500 0.000 0.000
Ru 0.000 0.000 0.500
C 0.500 0.500 0.000
S 0.500 0.500 0.500

The following is a PBE calculation of a relaxed LaTi2Te crystal, from Alexandria via LeMat-Bulk.

Output
DFT total energy (eV/atom): -5.98
Energy relative to the elements, uncorrected (kJ/mol of formula units): -6
Symmetry: I-42d, No. 122
Density of states at the Fermi level (states/eV per atom): 1.118

Cell lengths 10.396, 10.396, 10.396 Å; angles 155.47, 155.47, 34.96 degrees
Fractional coordinates of all 8 atoms:
La 0.000 0.000 0.000
La 0.750 0.250 0.500
Ti 0.157 0.625 0.032
Ti 0.375 0.407 0.532
Ti 0.593 0.125 0.968
Ti 0.875 0.843 0.468
Te 0.250 0.750 0.500
Te 0.500 0.500 0.000

The following is a PBE calculation of a relaxed Co2HgGe2 crystal, from Alexandria via LeMat-Bulk.

Output
DFT total energy (eV/atom): -4.57
Energy above the lowest structure with this stoichiometry (meV/atom): 93
DFT formation energy (meV per atom): 178
Symmetry: P4/mbm, No. 127
Density of states at the Fermi level (states/eV per atom): 0.537

Cell lengths 7.333, 7.333, 2.733 Å; angles 90.00, 90.00, 90.00 degrees
Fractional coordinates of all 10 atoms:
Co 0.141 0.359 0.000
Co 0.359 0.859 0.000
Co 0.641 0.141 0.000
Co 0.859 0.641 0.000
Hg 0.000 0.000 0.500
Hg 0.500 0.500 0.500
Ge 0.146 0.646 0.500
Ge 0.354 0.146 0.500
Ge 0.646 0.854 0.500
Ge 0.854 0.354 0.500

The following is a PBE calculation of a relaxed TlCo2Ru crystal, from Alexandria via LeMat-Bulk.

Output
DFT total energy (eV/atom): -5.90
Energy above the lowest structure with this stoichiometry (meV/atom): 98
DFT formation energy (meV per atom): 565
Symmetry: F-43m, No. 216
Density of states at the Fermi level (states/eV per atom): 1.482

Cell lengths 4.371, 4.371, 4.371 Å; angles 60.00, 60.00, 60.00 degrees
Fractional coordinates of all 4 atoms:
Tl 0.000 0.000 0.000
Co 0.250 0.250 0.250
Co 0.500 0.500 0.500
Ru 0.750 0.750 0.750

The following is a PBE calculation of a relaxed Ba2PmOs2N6 crystal, from Alexandria via LeMat-Bulk.

Output
DFT total energy (eV/atom): -7.80
Energy relative to the elements, uncorrected (kJ/mol of formula units): -465
Symmetry: R-3m, No. 166
Density of states at the Fermi level (states/eV per atom): 0.408

Cell lengths 7.267, 7.267, 7.267 Å; angles 49.96, 49.96, 49.96 degrees
Fractional coordinates of all 11 atoms:
Ba 0.213 0.213 0.213
Ba 0.787 0.787 0.787
Pm 0.000 0.000 0.000
Os 0.403 0.403 0.403
Os 0.597 0.597 0.597
N 0.250 0.744 0.744
N 0.256 0.256 0.750
N 0.256 0.750 0.256
N 0.744 0.250 0.744
N 0.744 0.744 0.250
N 0.750 0.256 0.256